Material: CaB2O4
Method: DFT, GGA-PBE
State: optimized geometry

Crystal system: orthorhombic

Cell: 8.4276 14.0121 5.0551 Å, 90.00 90.00 90.00°
Closest atoms and distances in Å follow each position.
Positions (direct):
Ca  0.1152  0.1438  0.1191  6 O 2.31-2.56
Ca  0.1152  0.3562  0.6191  6 O 2.31-2.56
Ca  0.3848  0.1438  0.6191  6 O 2.31-2.56
Ca  0.3848  0.3562  0.1191  6 O 2.31-2.56
Ca  0.6152  0.6438  0.8809  6 O 2.31-2.56
Ca  0.6152  0.8562  0.3809  6 O 2.31-2.56
Ca  0.8848  0.6438  0.3809  6 O 2.31-2.56
Ca  0.8848  0.8562  0.8809  6 O 2.31-2.56
B  0.0365  0.6377  0.8763  3 O 1.37-1.38
B  0.0365  0.8623  0.3763  3 O 1.37-1.38
B  0.2457  0.5508  0.1305  4 O 1.48-1.51
B  0.2457  0.9492  0.6305  4 O 1.48-1.51
B  0.2543  0.5508  0.6305  4 O 1.48-1.51
B  0.2543  0.9492  0.1305  4 O 1.48-1.51
B  0.4635  0.6377  0.3763  3 O 1.37-1.38
B  0.4635  0.8623  0.8763  3 O 1.37-1.38
B  0.5365  0.1377  0.1237  3 O 1.37-1.38
B  0.5365  0.3623  0.6237  3 O 1.37-1.38
B  0.7457  0.0508  0.8695  4 O 1.48-1.51
B  0.7457  0.4492  0.3695  4 O 1.48-1.51
B  0.7543  0.0508  0.3695  4 O 1.48-1.51
B  0.7543  0.4492  0.8695  4 O 1.48-1.51
B  0.9635  0.1377  0.6237  3 O 1.37-1.38
B  0.9635  0.3623  0.1237  3 O 1.37-1.38
O  0.1009  0.6100  0.1145  2 B 1.38-1.48
O  0.1009  0.8900  0.6145  2 B 1.38-1.48
O  0.1052  0.1861  0.6277  1 B 1.37
O  0.1052  0.3139  0.1277  1 B 1.37
O  0.1108  0.6136  0.6432  2 B 1.38-1.50
O  0.1108  0.8864  0.1432  2 B 1.38-1.50
O  0.2410  0.0080  0.8803  2 B 1.51
O  0.2410  0.4920  0.3803  2 B 1.51
O  0.2590  0.0080  0.3803  2 B 1.51
O  0.2590  0.4920  0.8803  2 B 1.51
O  0.3892  0.6136  0.1432  2 B 1.38-1.50
O  0.3892  0.8864  0.6432  2 B 1.38-1.50
O  0.3948  0.1861  0.1277  1 B 1.37
O  0.3948  0.3139  0.6277  1 B 1.37
O  0.3991  0.6100  0.6145  2 B 1.38-1.48
O  0.3991  0.8900  0.1145  2 B 1.38-1.48
O  0.6009  0.1100  0.8855  2 B 1.38-1.48
O  0.6009  0.3900  0.3855  2 B 1.38-1.48
O  0.6052  0.6861  0.3723  1 B 1.37
O  0.6052  0.8139  0.8723  1 B 1.37
O  0.6108  0.1136  0.3568  2 B 1.38-1.50
O  0.6108  0.3864  0.8568  2 B 1.38-1.50
O  0.7410  0.5080  0.1197  2 B 1.51
O  0.7410  0.9920  0.6197  2 B 1.51
O  0.7590  0.5080  0.6197  2 B 1.51
O  0.7590  0.9920  0.1197  2 B 1.51
O  0.8892  0.1136  0.8568  2 B 1.38-1.50
O  0.8892  0.3864  0.3568  2 B 1.38-1.50
O  0.8948  0.6861  0.8723  1 B 1.37
O  0.8948  0.8139  0.3723  1 B 1.37
O  0.8991  0.1100  0.3855  2 B 1.38-1.48
O  0.8991  0.3900  0.8855  2 B 1.38-1.48

***

Material: CaB2O8
Method: DFT, GGA-PBE
State: optimized geometry

Crystal system: triclinic

Cell: 5.2163 5.2334 5.2668 Å, 78.03 74.85 76.22°
Closest atoms and distances in Å follow each position.
Positions (direct):
Ca  0.0000  0.0000  0.0000  8 O 2.41-2.44
B  0.3389  0.3575  0.3494  4 O 1.43-1.45
B  0.6611  0.6425  0.6506  4 O 1.43-1.45
O  0.2286  0.2166  0.2122  1 B 1.43
O  0.2502  0.2718  0.6314  1 B 1.44
O  0.2521  0.6391  0.2665  1 B 1.44
O  0.3695  0.7205  0.7313  1 B 1.45
O  0.6305  0.2795  0.2686  1 B 1.45
O  0.7479  0.3609  0.7335  1 B 1.44
O  0.7498  0.7282  0.3686  1 B 1.44
O  0.7714  0.7834  0.7878  1 B 1.43

***

Respective raw total energy values: -7.756, -5.962 eV/atom.
Respective formation energy without anion corrections values: -2.7293, -0.9604 eV per atom.